Record 1
First-principles (GGA-PBE) data for a relaxed structure of CsMg2PbCl8, as listed in Alexandria via LeMat-Bulk.

a = 6.3048 Å, b = 6.6486 Å, c = 10.1676 Å
α = 75.55°, β = 75.12°, γ = 74.33°
With the nearest neighbours (Å) after each atom.
Fractional positions:
1 Cs 0.0000 0.0000 0.0000  6 Cl 3.54-3.91
2 Mg 0.4399 0.4626 0.2890  4 Cl 2.32-2.44
3 Mg 0.5601 0.5374 0.7110  4 Cl 2.32-2.44
4 Pb 0.0000 0.0000 0.5000  6 Cl 2.87-2.97
5 Cl 0.1713 0.6936 0.7364  1 Mg 2.36
6 Cl 0.2694 0.2860 0.5007  1 Mg 2.32
7 Cl 0.3301 0.8355 0.2636  1 Mg 2.35
8 Cl 0.3347 0.4126 0.0870  1 Mg 2.44, 1 Cl 2.69
9 Cl 0.6653 0.5874 0.9130  1 Mg 2.44, 1 Cl 2.69
10 Cl 0.6699 0.1645 0.7364  1 Mg 2.35
11 Cl 0.7306 0.7140 0.4993  1 Mg 2.32
12 Cl 0.8287 0.3064 0.2636  1 Mg 2.36

=====

Record 2
First-principles (GGA-PBE) data for a relaxed structure of Cs4Mg3PbCl12, as listed in Alexandria via LeMat-Bulk.

a = 9.1506 Å, b = 9.1506 Å, c = 9.1506 Å
α = 109.47°, β = 109.47°, γ = 109.47°
With the nearest neighbours (Å) after each atom.
Fractional positions:
1 Cs 0.0000 0.0000 0.5000  12 Cl 3.74
2 Cs 0.0000 0.5000 0.0000  12 Cl 3.74
3 Cs 0.5000 0.0000 0.0000  12 Cl 3.74
4 Cs 0.5000 0.5000 0.5000  12 Cl 3.74
5 Mg 0.0000 0.5000 0.5000  6 Cl 2.45-2.64
6 Mg 0.5000 0.0000 0.5000  6 Cl 2.45-2.64
7 Mg 0.5000 0.5000 0.0000  6 Cl 2.45-2.64
8 Pb 0.0000 0.0000 0.0000  6 Cl 2.83
9 Cl 0.0000 0.2683 0.2683  1 Mg 2.45
10 Cl 0.0000 0.7317 0.7317  1 Mg 2.45
11 Cl 0.2500 0.5000 0.7500  2 Mg 2.64
12 Cl 0.2500 0.7500 0.5000  2 Mg 2.64
13 Cl 0.2683 0.0000 0.2683  1 Mg 2.45
14 Cl 0.2683 0.2683 0.0000  1 Mg 2.45
15 Cl 0.5000 0.2500 0.7500  2 Mg 2.64
16 Cl 0.5000 0.7500 0.2500  2 Mg 2.64
17 Cl 0.7317 0.0000 0.7317  1 Mg 2.45
18 Cl 0.7317 0.7317 0.0000  1 Mg 2.45
19 Cl 0.7500 0.2500 0.5000  2 Mg 2.64
20 Cl 0.7500 0.5000 0.2500  2 Mg 2.64

=====

Record 3
First-principles (GGA-PBE) data for a relaxed structure of Cs3Mg2PbCl9, as listed in Alexandria via LeMat-Bulk.

a = 7.5015 Å, b = 7.5015 Å, c = 9.2581 Å
α = 90.00°, β = 90.00°, γ = 120.00°
With the nearest neighbours (Å) after each atom.
Fractional positions:
1 Cs 0.0000 0.0000 0.0000  12 Cl 3.72-3.75
2 Cs 0.3333 0.6667 0.6707  12 Cl 3.74-3.86
3 Cs 0.6667 0.3333 0.3293  12 Cl 3.74-3.86
4 Mg 0.3333 0.6667 0.1527  6 Cl 2.53-2.59
5 Mg 0.6667 0.3333 0.8473  6 Cl 2.53-2.59
6 Pb 0.0000 0.0000 0.5000  6 Cl 2.86
7 Cl 0.0000 0.5000 0.0000  2 Mg 2.59
8 Cl 0.1769 0.3539 0.3156  1 Mg 2.53
9 Cl 0.1769 0.8231 0.3156  1 Mg 2.53
10 Cl 0.3539 0.1769 0.6844  1 Mg 2.53
11 Cl 0.5000 0.0000 0.0000  2 Mg 2.59
12 Cl 0.5000 0.5000 0.0000  2 Mg 2.59
13 Cl 0.6461 0.8231 0.3156  1 Mg 2.53
14 Cl 0.8231 0.1769 0.6844  1 Mg 2.53
15 Cl 0.8231 0.6461 0.6844  1 Mg 2.53

=====

Record 4
First-principles (GGA-PBE) data for a relaxed structure of Cs2MgPbCl6, as listed in Alexandria via LeMat-Bulk.

a = 7.6602 Å, b = 7.6602 Å, c = 7.6602 Å
α = 60.00°, β = 60.00°, γ = 60.00°
With the nearest neighbours (Å) after each atom.
Fractional positions:
1 Cs 0.2500 0.2500 0.2500  12 Cl 3.83
2 Cs 0.7500 0.7500 0.7500  12 Cl 3.83
3 Mg 0.0000 0.0000 0.0000  6 Cl 2.54
4 Pb 0.5000 0.5000 0.5000  6 Cl 2.88
5 Cl 0.2342 0.2342 0.7658  1 Mg 2.54
6 Cl 0.2342 0.7658 0.2342  1 Mg 2.54
7 Cl 0.2342 0.7658 0.7658  1 Mg 2.54
8 Cl 0.7658 0.2342 0.2342  1 Mg 2.54
9 Cl 0.7658 0.2342 0.7658  1 Mg 2.54
10 Cl 0.7658 0.7658 0.2342  1 Mg 2.54

=====

Calculated density in order - 2.9 3.5 3.6 3.7 g/cm³
Calculated raw total energy in order - -40.2 -70.4 -52.9 -35.4 eV/f.u.
Calculated uncorrected formation energy in order - -17.6 -36.3 -26.8 -17.3 eV per formula unit